Mn4GeP: optimized geometry, PBE.

```
data_Mn4GeP
_chemical_formula_sum 'Mn16 Ge4 P4'
_symmetry_space_group_name_H-M 'P 1'
_symmetry_Int_Tables_number 1
_cell_length_a 6.358
_cell_length_b 3.276
_cell_length_c 14.528
_cell_angle_alpha 90.00
_cell_angle_beta 90.00
_cell_angle_gamma 90.00
loop_
_symmetry_equiv_pos_as_xyz
'x,y,z'
loop_
_atom_site_label
_atom_site_type_symbol
_atom_site_fract_x
_atom_site_fract_y
_atom_site_fract_z
Mn1 Mn 0.001 0.250 0.063
Mn2 Mn 0.050 0.250 0.791
Mn3 Mn 0.130 0.250 0.349
Mn4 Mn 0.134 0.250 0.557
Mn5 Mn 0.366 0.750 0.057
Mn6 Mn 0.370 0.750 0.849
Mn7 Mn 0.450 0.750 0.291
Mn8 Mn 0.499 0.750 0.563
Mn9 Mn 0.501 0.250 0.437
Mn10 Mn 0.550 0.250 0.709
Mn11 Mn 0.630 0.250 0.151
Mn12 Mn 0.634 0.250 0.943
Mn13 Mn 0.866 0.750 0.443
Mn14 Mn 0.870 0.750 0.651
Mn15 Mn 0.950 0.750 0.209
Mn16 Mn 0.999 0.750 0.937
Ge1 Ge 0.245 0.750 0.687
Ge2 Ge 0.255 0.250 0.187
Ge3 Ge 0.745 0.750 0.813
Ge4 Ge 0.755 0.250 0.313
P1 P 0.250 0.250 0.944
P2 P 0.250 0.750 0.444
P3 P 0.750 0.250 0.556
P4 P 0.750 0.750 0.056
```

Computed properties:
Its total DFT energy (no corrections) is -0.2971 hartree per atom. The calculation puts the volume at 75.65 Å³/f.u. As for the density of states at the Fermi level: 0.7649 states/eV/atom.

---

TaTl2Cu: optimized geometry, PBE.

```
data_TaTl2Cu
_chemical_formula_sum 'Ta1 Tl2 Cu1'
_symmetry_space_group_name_H-M 'P 1'
_symmetry_Int_Tables_number 1
_cell_length_a 3.072
_cell_length_b 4.448
_cell_length_c 5.966
_cell_angle_alpha 90.00
_cell_angle_beta 95.08
_cell_angle_gamma 90.00
loop_
_symmetry_equiv_pos_as_xyz
'x,y,z'
loop_
_atom_site_label
_atom_site_type_symbol
_atom_site_fract_x
_atom_site_fract_y
_atom_site_fract_z
Ta1 Ta 0.000 0.000 0.000
Tl1 Tl 0.363 0.500 0.746
Tl2 Tl 0.637 0.500 0.254
Cu1 Cu 0.500 0.000 0.500
```

Computed properties:
Its total DFT energy (no corrections) is -0.1667 hartree per atom. The calculation puts the volume at 81.21 Å³/f.u. As for the density of states at the Fermi level: 0.5066 states/eV/atom.

---

Pm6MgZn5: optimized geometry, PBE.

```
data_Pm6MgZn5
_chemical_formula_sum 'Pm6 Mg1 Zn5'
_symmetry_space_group_name_H-M 'P 1'
_symmetry_Int_Tables_number 1
_cell_length_a 8.253
_cell_length_b 8.253
_cell_length_c 7.398
_cell_angle_alpha 90.00
_cell_angle_beta 90.00
_cell_angle_gamma 143.29
loop_
_symmetry_equiv_pos_as_xyz
'x,y,z'
loop_
_atom_site_label
_atom_site_type_symbol
_atom_site_fract_x
_atom_site_fract_y
_atom_site_fract_z
Pm1 Pm 0.000 0.000 0.239
Pm2 Pm 0.000 0.000 0.761
Pm3 Pm 0.329 0.671 0.246
Pm4 Pm 0.329 0.671 0.754
Pm5 Pm 0.671 0.329 0.246
Pm6 Pm 0.671 0.329 0.754
Mg1 Mg 0.500 0.500 0.500
Zn1 Zn 0.158 0.842 0.500
Zn2 Zn 0.165 0.835 0.000
Zn3 Zn 0.500 0.500 0.000
Zn4 Zn 0.835 0.165 0.000
Zn5 Zn 0.842 0.158 0.500
```

Computed properties:
Its total DFT energy (no corrections) is -0.1218 hartree per atom. The calculation puts the volume at 301.21 Å³/f.u. As for the density of states at the Fermi level: 1.1287 states/eV/atom.

---

OsPbAu2: optimized geometry, PBE.

```
data_OsPbAu2
_chemical_formula_sum 'Os3 Pb3 Au6'
_symmetry_space_group_name_H-M 'P 1'
_symmetry_Int_Tables_number 1
_cell_length_a 3.040
_cell_length_b 3.040
_cell_length_c 29.097
_cell_angle_alpha 90.00
_cell_angle_beta 90.00
_cell_angle_gamma 120.00
loop_
_symmetry_equiv_pos_as_xyz
'x,y,z'
loop_
_atom_site_label
_atom_site_type_symbol
_atom_site_fract_x
_atom_site_fract_y
_atom_site_fract_z
Os1 Os 0.000 0.000 0.000
Os2 Os 0.333 0.667 0.667
Os3 Os 0.667 0.333 0.333
Pb1 Pb 0.000 0.000 0.748
Pb2 Pb 0.333 0.667 0.415
Pb3 Pb 0.667 0.333 0.082
Au1 Au 0.000 0.000 0.259
Au2 Au 0.000 0.000 0.513
Au3 Au 0.333 0.667 0.180
Au4 Au 0.333 0.667 0.925
Au5 Au 0.667 0.333 0.592
Au6 Au 0.667 0.333 0.847
```

Computed properties:
Its total DFT energy (no corrections) is -0.1742 hartree per atom. The calculation puts the volume at 77.64 Å³/f.u. As for the density of states at the Fermi level: 0.5316 states/eV/atom.

---

Q: Look up the total DFT energy (no corrections) of the first one.
A: -0.2971 hartree per atom